Zr2TcAg PBE optimized geometry; mass density = 8.5 g cm⁻³; total magnetization = 0.000 μB per atom; total DFT energy (no corrections) = -30.08 eV per cell
1.0
-2.4031 3.2955 3.4170
-4.7403 -1.7579 1.6584
4.8612 -2.1415 -0.3070
Zr Ag Tc
2 1 1
Cartesian
-1.7254 -1.5653 1.9446
0.0000 0.0000 0.0000
-3.5717 0.7688 2.5377
-0.5568 0.9614 2.8239